The following is a DFT calculation (PBE) of a relaxed Sm2Dy4Er3 crystal.

Cell lengths 9.9222, 9.9222, 6.1283 Å; angles 94.82, 94.82, 71.41 degrees
Atoms (fractional coordinates):
Sm 0.0228 0.7345 0.6785
Sm 0.2655 0.9772 0.8215
Sm 0.7345 0.0228 0.1785
Sm 0.9772 0.2655 0.3215
Dy 0.0750 0.3549 0.8477
Dy 0.3119 0.5947 0.9858
Dy 0.3549 0.0750 0.3477
Dy 0.4053 0.6881 0.5142
Dy 0.5947 0.3119 0.4858
Dy 0.6451 0.9250 0.6523
Dy 0.6881 0.4053 0.0142
Dy 0.9250 0.6451 0.1523
Er 0.0975 0.9025 0.2500
Er 0.2369 0.4321 0.4091
Er 0.4321 0.2369 0.9091
Er 0.5679 0.7631 0.0909
Er 0.7631 0.5679 0.5909
Er 0.9025 0.0975 0.7500

## Properties
DFT formation energy = 95 meV/atom
symmetry = C2/c (15)
M_tot = 0.0 μB/f.u.